1.
K2NaLiHg6 | GGA-PBE | relaxed

a = 7.4807 Å, b = 7.5070 Å, c = 7.6192 Å
α = 63.38°, β = 67.11°, γ = 61.00°
Atoms (fractional coordinates):
1 K 0.2011 0.1968 0.3830
2 K 0.7989 0.8032 0.6170
3 Na 0.5000 0.5000 0.5000
4 Li 0.0000 0.0000 0.0000
5 Hg 0.1890 0.2908 0.8241
6 Hg 0.2471 0.6522 0.8673
7 Hg 0.3843 0.8077 0.0937
8 Hg 0.6157 0.1923 0.9063
9 Hg 0.7529 0.3478 0.1327
10 Hg 0.8110 0.7092 0.1759

Formation energy from the elements, eV per atom: -0.21
Fermi-level density of states, states/eV/f.u.: 3.97
E, eV per formula unit: -9.36

---

2.
NbFeNi5 | GGA-PBE | relaxed

a = 3.6629 Å, b = 3.6629 Å, c = 6.6806 Å
α = 90.00°, β = 90.00°, γ = 90.00°
Atoms (fractional coordinates):
1 Nb 0.0000 0.0000 0.0000
2 Fe 0.5000 0.5000 0.5000
3 Ni 0.0000 0.5000 0.2746
4 Ni 0.0000 0.5000 0.7254
5 Ni 0.5000 0.0000 0.2746
6 Ni 0.5000 0.0000 0.7254
7 Ni 0.5000 0.5000 0.0000

Formation energy from the elements, eV per atom: -0.01
Fermi-level density of states, states/eV/f.u.: 3.35
E, eV per formula unit: -47.49